# PBE-GGA KPd2Au4, relaxed
# N(E_F), states/eV/atom: 0.39
# Formation energy from the elements, eV per atom: -0.1083
# Uncorrected energy, eV per atom: -3.62
data_KPd2Au4
_symmetry_space_group_name_H-M 'C 1 2/m 1'
_symmetry_Int_Tables_number 12
_cell_length_a 8.892
_cell_length_b 7.091
_cell_length_c 5.464
_cell_angle_alpha 90.00
_cell_angle_beta 127.18
_cell_angle_gamma 90.00
loop_
_symmetry_equiv_pos_as_xyz
'x,y,z'
'-x,-y,-z'
'-x,y,-z'
'x,-y,z'
'x+1/2,y+1/2,z'
'-x+1/2,-y+1/2,-z'
'-x+1/2,y+1/2,-z'
'x+1/2,-y+1/2,z'
loop_
_atom_site_label
_atom_site_type_symbol
_atom_site_fract_x
_atom_site_fract_y
_atom_site_fract_z
K1 K 0.000 0.000 0.000
Pd1 Pd 0.000 0.500 0.250
Au1 Au 0.200 0.200 0.701